1.
! InBiSbI2 (SCAN, PBEsol geometry); values from VASP
! * calculated total energy: -44.31 eV/atom
! * magnetic moment: 0.92 μB per formula unit
! * raw formation energy: 0.235 eV per atom
! * DOS(E_F): 0.676 states/eV per atom
! * SG: No. 123
&SYSTEM
  ibrav = 0, nat = 5, ntyp = 4
/
ATOMIC_SPECIES
In 114.82 In.upf
Bi 208.98 Bi.upf
Sb 121.76 Sb.upf
I 126.90 I.upf
CELL_PARAMETERS angstrom
6.106 0.000 0.000
0.000 6.106 0.000
0.000 0.000 5.851
ATOMIC_POSITIONS angstrom
In 0.000 0.000 0.000
Bi 3.053 3.053 2.925
Sb 3.053 3.053 0.000
I 0.000 3.053 2.925
I 3.053 0.000 2.925



2.
! Ba2TaPb (SCAN, PBEsol geometry); values from VASP
! * calculated total energy: -54.74 eV/atom
! * ΔE_f: 0.63 eV per atom
! * magnetic moment: 1.50 μB per formula unit
! * DOS(E_F): 0.884 states/eV per atom
! * SG: No. 65
&SYSTEM
  ibrav = 0, nat = 4, ntyp = 3
/
ATOMIC_SPECIES
Ba 137.33 Ba.upf
Ta 180.95 Ta.upf
Pb 207.20 Pb.upf
CELL_PARAMETERS angstrom
3.400 -5.270 0.000
3.400 5.270 0.000
0.000 0.000 3.359
ATOMIC_POSITIONS angstrom
Ba 1.700 2.635 0.000
Ba 1.700 -2.635 0.000
Ta 0.000 0.000 1.679
Pb 3.400 0.000 1.679



3.
! LiCu4Hg (SCAN, PBEsol geometry); values from VASP
! * calculated total energy: -21.93 eV/atom
! * ΔE_f: -0.04 eV per atom
! * magnetic moment: 0.00 μB per formula unit
! * DOS(E_F): 0.336 states/eV per atom
! * SG: No. 216
&SYSTEM
  ibrav = 0, nat = 6, ntyp = 3
/
ATOMIC_SPECIES
Li 6.94 Li.upf
Cu 63.55 Cu.upf
Hg 200.59 Hg.upf
CELL_PARAMETERS angstrom
0.000 3.438 3.438
3.438 0.000 3.438
3.438 3.438 0.000
ATOMIC_POSITIONS angstrom
Li 0.000 0.000 0.000
Cu 2.577 2.577 2.577
Cu 4.298 4.298 2.577
Cu 4.298 2.577 4.298
Cu 2.577 4.298 4.298
Hg 5.156 5.156 5.156



4.
! Ba3LuB9O18 (SCAN, PBEsol geometry); values from VASP
! * calculated total energy: -14.36 eV/atom
! * magnetic moment: 0.00 μB per formula unit
! * raw formation energy: -2.971 eV per atom
! * DOS(E_F): 0.000 states/eV per atom
! * SG: No. 176
&SYSTEM
  ibrav = 0, nat = 62, ntyp = 4
/
ATOMIC_SPECIES
Ba 137.33 Ba.upf
Lu 174.97 Lu.upf
B 10.81 B.upf
O 16.00 O.upf
CELL_PARAMETERS angstrom
7.188 0.000 0.000
-3.594 6.225 0.000
0.000 0.000 16.498
ATOMIC_POSITIONS angstrom
Ba 0.000 0.000 4.125
Ba 0.000 0.000 12.374
Ba 0.000 4.150 2.108
Ba 0.000 4.150 6.141
Ba 3.594 2.075 10.357
Ba 3.594 2.075 14.390
Lu 0.000 0.000 0.000
Lu 0.000 0.000 8.249
B -0.952 3.079 12.374
B -1.394 4.478 9.598
B -1.394 4.478 15.149
B 0.413 2.779 9.598
B 0.413 2.779 15.149
B -0.452 5.510 12.374
B 2.613 1.032 1.349
B 2.613 1.032 6.900
B 2.190 2.364 4.125
B 1.404 3.861 12.374
B 0.981 5.193 9.598
B 0.981 5.193 15.149
B 4.046 0.715 4.125
B 3.181 3.446 1.349
B 3.181 3.446 6.900
B 4.988 1.747 1.349
B 4.988 1.747 6.900
B 4.546 3.146 4.125
O -2.698 4.741 9.589
O -2.698 4.741 15.158
O -1.794 4.166 4.125
O -0.946 3.141 9.587
O -0.946 3.141 15.160
O -1.357 4.424 12.374
O 0.837 1.518 9.589
O 0.837 1.518 15.158
O 1.733 0.034 1.340
O 1.733 0.034 6.909
O 0.441 2.838 12.374
O 0.884 2.589 4.125
O -0.401 5.474 9.587
O -0.401 5.474 15.160
O 2.684 0.529 12.374
O 2.678 1.037 4.125
O 1.347 3.835 9.587
O 1.347 3.835 15.160
O 2.247 2.390 1.338
O 2.247 2.390 6.911
O 0.916 5.188 12.374
O 0.910 5.696 4.125
O 3.995 0.751 1.338
O 3.995 0.751 6.911
O 2.711 3.637 12.374
O 3.153 3.387 4.125
O 1.861 6.191 9.589
O 1.861 6.191 15.158
O 2.757 4.707 1.340
O 2.757 4.707 6.909
O 4.951 1.801 4.125
O 4.540 3.084 1.338
O 4.540 3.084 6.911
O 5.388 2.060 12.374
O 6.292 1.484 1.340
O 6.292 1.484 6.909



5.
! TaRuRh2 (SCAN, PBEsol geometry); values from VASP
! * calculated total energy: -42.69 eV/atom
! * ΔE_f: -0.46 eV per atom
! * magnetic moment: 0.00 μB per formula unit
! * DOS(E_F): 0.510 states/eV per atom
! * SG: No. 139
&SYSTEM
  ibrav = 0, nat = 4, ntyp = 3
/
ATOMIC_SPECIES
Ta 180.95 Ta.upf
Ru 101.07 Ru.upf
Rh 102.91 Rh.upf
CELL_PARAMETERS angstrom
-1.918 1.918 3.875
1.918 -1.918 3.875
1.918 1.918 -3.875
ATOMIC_POSITIONS angstrom
Ta 0.000 0.000 0.000
Ru 0.000 0.000 3.875
Rh 1.918 0.000 1.938
Rh 0.000 1.918 1.938



6.
! MgFeSe2 (SCAN, PBEsol geometry); values from VASP
! * calculated total energy: -16.36 eV/atom
! * magnetic moment: 3.80 μB per formula unit
! * raw formation energy: -0.546 eV per atom
! * DOS(E_F): 0.335 states/eV per atom
! * SG: No. 44
&SYSTEM
  ibrav = 0, nat = 4, ntyp = 3
/
ATOMIC_SPECIES
Mg 24.30 Mg.upf
Fe 55.84 Fe.upf
Se 78.96 Se.upf
CELL_PARAMETERS angstrom
-1.690 1.746 6.222
1.690 -1.746 6.222
1.690 1.746 -6.222
ATOMIC_POSITIONS angstrom
Mg 0.000 0.000 0.000
Fe 0.000 1.746 3.067
Se 1.690 0.000 4.076
Se 0.000 0.000 7.387



7.
! BaPRu2 (SCAN, PBEsol geometry); values from VASP
! * calculated total energy: -30.04 eV/atom
! * ΔE_f: -0.14 eV per atom
! * magnetic moment: 0.00 μB per formula unit
! * DOS(E_F): 0.773 states/eV per atom
! * SG: No. 99
&SYSTEM
  ibrav = 0, nat = 4, ntyp = 3
/
ATOMIC_SPECIES
Ba 137.33 Ba.upf
P 30.97 P.upf
Ru 101.07 Ru.upf
CELL_PARAMETERS angstrom
3.808 0.000 0.000
0.000 3.808 0.000
0.000 0.000 5.851
ATOMIC_POSITIONS angstrom
Ba 0.000 0.000 0.000
P 1.904 1.904 1.762
Ru 0.000 1.904 3.029
Ru 1.904 0.000 3.029



8.
! MgCo2Te (SCAN, PBEsol geometry); values from VASP
! * calculated total energy: -19.05 eV/atom
! * magnetic moment: 1.97 μB per formula unit
! * raw formation energy: 0.161 eV per atom
! * DOS(E_F): 0.396 states/eV per atom
! * SG: No. 123
&SYSTEM
  ibrav = 0, nat = 4, ntyp = 3
/
ATOMIC_SPECIES
Mg 24.30 Mg.upf
Co 58.93 Co.upf
Te 127.60 Te.upf
CELL_PARAMETERS angstrom
4.047 0.000 0.000
0.000 4.047 0.000
0.000 0.000 3.405
ATOMIC_POSITIONS angstrom
Mg 0.000 0.000 0.000
Co 0.000 2.024 1.703
Co 2.024 0.000 1.703
Te 2.024 2.024 0.000



9.
! Co2HgSe (SCAN, PBEsol geometry); values from VASP
! * calculated total energy: -30.33 eV/atom
! * magnetic moment: 3.59 μB per formula unit
! * raw formation energy: 0.384 eV per atom
! * DOS(E_F): 0.300 states/eV per atom
! * SG: No. 123
&SYSTEM
  ibrav = 0, nat = 4, ntyp = 3
/
ATOMIC_SPECIES
Co 58.93 Co.upf
Hg 200.59 Hg.upf
Se 78.96 Se.upf
CELL_PARAMETERS angstrom
4.327 0.000 0.000
0.000 4.327 0.000
0.000 0.000 3.060
ATOMIC_POSITIONS angstrom
Co 0.000 2.163 0.000
Co 2.163 0.000 0.000
Hg 0.000 0.000 1.530
Se 2.163 2.163 1.530



10.
! NbOF3 (SCAN, PBEsol geometry); values from VASP
! * calculated total energy: -12.95 eV/atom
! * magnetic moment: 0.06 μB per formula unit
! * raw formation energy: -2.958 eV per atom
! * DOS(E_F): 0.000 states/eV per atom
! * SG: No. 71
&SYSTEM
  ibrav = 0, nat = 5, ntyp = 3
/
ATOMIC_SPECIES
Nb 92.91 Nb.upf
O 16.00 O.upf
F 19.00 F.upf
CELL_PARAMETERS angstrom
-1.933 2.048 4.266
1.933 -2.048 4.266
1.933 2.048 -4.266
ATOMIC_POSITIONS angstrom
Nb 0.000 0.000 0.000
O 1.933 0.000 0.000
F 0.000 0.000 1.902
F 0.000 2.048 0.000
F 0.000 0.000 6.631



11.
! BaCoRu2 (SCAN, PBEsol geometry); values from VASP
! * calculated total energy: -30.23 eV/atom
! * ΔE_f: 1.40 eV per atom
! * magnetic moment: 3.53 μB per formula unit
! * DOS(E_F): 1.185 states/eV per atom
! * SG: No. 65
&SYSTEM
  ibrav = 0, nat = 4, ntyp = 3
/
ATOMIC_SPECIES
Ba 137.33 Ba.upf
Co 58.93 Co.upf
Ru 101.07 Ru.upf
CELL_PARAMETERS angstrom
2.570 -4.687 0.000
2.570 4.687 0.000
0.000 0.000 2.910
ATOMIC_POSITIONS angstrom
Ba 0.000 0.000 0.000
Co 2.570 0.000 0.000
Ru 1.285 2.343 1.455
Ru 1.285 -2.343 1.455



12.
! PPt2Pb (SCAN, PBEsol geometry); values from VASP
! * calculated total energy: -56.75 eV/atom
! * ΔE_f: -0.11 eV per atom
! * magnetic moment: 0.00 μB per formula unit
! * DOS(E_F): 0.408 states/eV per atom
! * SG: No. 65
&SYSTEM
  ibrav = 0, nat = 4, ntyp = 3
/
ATOMIC_SPECIES
P 30.97 P.upf
Pt 195.08 Pt.upf
Pb 207.20 Pb.upf
CELL_PARAMETERS angstrom
2.768 -3.651 0.000
2.768 3.651 0.000
0.000 0.000 3.687
ATOMIC_POSITIONS angstrom
P 0.000 0.000 0.000
Pt 2.768 2.190 1.843
Pt 2.768 -2.190 1.843
Pb 2.768 0.000 0.000



magnetic moment of number 1 (InBiSbI2)? 0.92 μB per formula unit



The highest magnetic moment belongs to which entry? MgFeSe2



Which value of DOS(E_F) does entry 7 give? 0.773 states/eV per atom